Entry 1:
Entry from the Alexandria database: a geometry-optimized Pr3Nd6Dy2In structure (PBE).

abc: 6.2814 10.9353 11.9451
angles: 90.00 100.42 90.00
Space group C2/m (No. 12)
Asymmetric unit:
Pr (0.0000, 0.0000, 0.0000) x2
Pr (0.0000, 0.3304, 0.0000) x4
Nd (0.2419, 0.3372, 0.7414) x8
Nd (0.2454, 0.5000, 0.2561) x4
Dy (0.0000, 0.1658, 0.5000) x4
In (0.0000, 0.5000, 0.5000) x2

Properties
- Formation energy: -0.033 eV per atom

Entry 2:
Entry from the Alexandria database: a geometry-optimized Nd2InGaGe structure (PBE).

abc: 6.2012 4.3954 9.2475
angles: 90.00 90.01 90.00
Space group P2_1/m (No. 11)
Asymmetric unit:
Nd (0.2461, 0.2500, 0.0376) x2
Nd (0.2462, 0.2500, 0.4621) x2
In (0.2601, 0.7500, 0.7495) x2
Ga (0.4560, 0.7500, 0.2496) x2
Ge (0.0476, 0.7500, 0.2499) x2

Properties
- Formation energy: -0.615 eV per atom

Entry 3:
Entry from the Alexandria database: a geometry-optimized Tb4Nd2SmTm structure (PBE).

abc: 13.6861 13.2864 6.8346
angles: 90.00 119.95 90.00
Space group C2/c (No. 15)
Asymmetric unit:
Tb (0.0007, 0.2436, 0.0008) x8
Tb (0.2447, 0.0002, 0.4937) x8
Nd (0.0000, 0.5000, 0.0000) x4
Nd (0.2500, 0.2500, 0.0000) x4
Sm (0.2500, 0.2500, 0.5000) x4
Tm (0.0000, 0.0000, 0.0000) x4

Properties
- Formation energy: 0.412 eV per atom

Entry 4:
Entry from the Alexandria database: a geometry-optimized TaV2Ni structure (PBE).

abc: 3.1142 3.1142 5.8395
angles: 90.00 90.00 90.00
Space group P4/mmm (No. 123)
Asymmetric unit:
Ta (0.0000, 0.0000, 0.0000) x1
V (0.5000, 0.5000, 0.2626) x2
Ni (0.0000, 0.0000, 0.5000) x1

Properties
- Formation energy: 0.012 eV per atom

Entry 5:
Entry from the Alexandria database: a geometry-optimized HoPaIrS structure (PBE).

abc: 3.8838 3.8838 21.3253
angles: 90.00 90.00 120.00
Space group R3m (No. 160, hexagonal axes)
Asymmetric unit:
Ho (0.0000, 0.0000, 0.0000) x3
Pa (0.0000, 0.0000, 0.1782) x3
Ir (0.0000, 0.0000, 0.5830) x3
S (0.0000, 0.0000, 0.7553) x3

Properties
- Formation energy (no corrections): -1.172 eV per atom

Entry 6:
Entry from the Alexandria database: a geometry-optimized K2NaSnH structure (PBE).

abc: 5.6519 5.6519 4.7342
angles: 90.00 90.00 90.00
Space group P4/mmm (No. 123)
Asymmetric unit:
K (0.0000, 0.5000, 0.0000) x2
Na (0.0000, 0.0000, 0.5000) x1
Sn (0.5000, 0.5000, 0.5000) x1
H (0.0000, 0.0000, 0.0000) x1

Entry 7:
Entry from the Alexandria database: a geometry-optimized Li2PmTmTl4 structure (PBE).

abc: 5.2061 5.2061 25.5176
angles: 90.00 90.00 120.00
Space group R-3m (No. 166, hexagonal axes)
Asymmetric unit:
Li (0.0000, 0.0000, 0.2491) x6
Pm (0.0000, 0.0000, 0.0000) x3
Tm (0.0000, 0.0000, 0.5000) x3
Tl (0.0000, 0.0000, 0.1269) x6
Tl (0.0000, 0.0000, 0.3774) x6

Properties
- Formation energy: -0.316 eV per atom

Entry 8:
Entry from the Alexandria database: a geometry-optimized K2NaCdHg structure (PBE).

abc: 4.4370 5.4708 17.2889
angles: 90.00 90.00 90.00
Space group Imm2 (No. 44)
Asymmetric unit:
K (0.0000, 0.0000, 0.0000) x2
K (0.0000, 0.0000, 0.3441) x2
Na (0.0000, 0.0000, 0.5967) x2
Cd (0.0000, 0.5000, 0.6853) x2
Hg (0.0000, 0.0000, 0.7786) x2

Properties
- Formation energy: -0.055 eV per atom

Entry 9:
Entry from the Alexandria database: a geometry-optimized CdIn2Hg2 structure (PBE).

abc: 4.4265 4.4265 14.4373
angles: 90.00 90.00 90.00
Space group I4/mmm (No. 139)
Asymmetric unit:
Cd (0.0000, 0.0000, 0.0000) x2
In (0.0000, 0.5000, 0.2500) x4
Hg (0.0000, 0.0000, 0.4022) x4

Properties
- Formation energy: 0.114 eV per atom

Entry 10:
Entry from the Alexandria database: a geometry-optimized TePbWI2 structure (PBE).

abc: 5.6595 5.6595 5.5253
angles: 90.00 90.00 90.00
Space group P4/mmm (No. 123)
Asymmetric unit:
Te (0.0000, 0.0000, 0.0000) x1
Pb (0.5000, 0.5000, 0.0000) x1
W (0.0000, 0.0000, 0.5000) x1
I (0.0000, 0.5000, 0.5000) x2

Properties
- Formation energy (no corrections): 0.574 eV per atom

Entry 11:
Entry from the Alexandria database: a geometry-optimized KFeBr3 structure (PBE).

abc: 7.6103 8.6203 13.0648
angles: 90.00 125.20 90.00
Space group P2_1/c (No. 14)
Asymmetric unit:
K (0.2059, 0.1072, 0.2528) x4
Fe (0.4979, 0.1055, 0.0626) x4
Br (0.1288, 0.1747, 0.9479) x4
Br (0.2863, 0.7038, 0.9459) x4
Br (0.3621, 0.0230, 0.7464) x4

Properties
- Formation energy (no corrections): -0.956 eV per atom

Here are the calculated D(E_F) numbers, same order: 31.721, 9.366, 78.735, 6.491, 12.841, 4.171, 5.120, 5.630, 5.355, 3.832, 13.436 (states/eV/cell).
Here are the calculated calculated total energy numbers, same order: -4.607, -4.598, -4.244, -8.956, -7.937, -2.208, -3.130, -1.001, -1.285, -4.007, -3.872 (eV/atom).
Here are the calculated mass density numbers, same order: 7.1, 7.2, 7.7, 10.0, 11.1, 2.4, 9.5, 3.3, 8.7, 7.2, 3.2 (g cm⁻³).